[1]
Entry from Alexandria via LeMat-Bulk: crystalline CaPmSb at its relaxed geometry (PBE).

The value obtained for the energy above the lowest structure with this stoichiometry is 0.858 eV per formula unit. The magnetic moment comes out at 0.00 μB per cell. For the uncorrected formation energy, the calculation gives -0.5272 eV per atom. As for the uncorrected energy: -4.15 eV/atom.

Unit cell a=4.292 b=5.041 c=5.041 alpha=120.00 beta=90.00 gamma=90.00
Sites, in units of the cell vectors:
Pm 0.964 0.000 0.000
Ca 0.422 0.333 0.667
Sb 0.614 0.667 0.333


[2]
Entry from Alexandria via LeMat-Bulk: crystalline CaPm2Sb at its relaxed geometry (PBE).

The value obtained for the energy above the lowest structure with this stoichiometry is 0.000 eV per formula unit. The magnetic moment comes out at 0.00 μB per cell. For the uncorrected formation energy, the calculation gives -0.4931 eV per atom. As for the uncorrected energy: -4.40 eV/atom.

Unit cell a=4.275 b=4.275 c=6.857 alpha=90.00 beta=90.00 gamma=90.00
Sites, in units of the cell vectors:
Pm 0.000 0.000 0.269
Ca 0.500 0.500 0.000
Pm 0.000 0.000 0.731
Sb 0.500 0.500 0.500


[3]
Entry from Alexandria via LeMat-Bulk: crystalline CaPm2Sb at its relaxed geometry (PBE).

The value obtained for the energy above the lowest structure with this stoichiometry is 0.081 eV per formula unit. The magnetic moment comes out at 0.00 μB per cell. For the uncorrected formation energy, the calculation gives -0.4730 eV per atom. As for the uncorrected energy: -4.38 eV/atom.

Unit cell a=4.988 b=4.898 c=4.898 alpha=90.00 beta=90.00 gamma=90.00
Sites, in units of the cell vectors:
Sb 0.500 0.000 0.000
Ca 0.500 0.500 0.500
Pm 0.000 0.000 0.500
Pm 0.000 0.500 0.000


[4]
Entry from Alexandria via LeMat-Bulk: crystalline CaPmSb2 at its relaxed geometry (PBE).

The value obtained for the energy above the lowest structure with this stoichiometry is 0.479 eV per formula unit. The magnetic moment comes out at 0.00 μB per cell. For the uncorrected formation energy, the calculation gives -0.8215 eV per atom. As for the uncorrected energy: -4.57 eV/atom.

Unit cell a=5.494 b=5.494 c=5.494 alpha=60.00 beta=60.00 gamma=60.00
Sites, in units of the cell vectors:
Pm 0.000 0.000 0.000
Sb 0.250 0.250 0.250
Sb 0.750 0.750 0.750
Ca 0.500 0.500 0.500